(1)
DFT (PBE) results for a relaxed structure of Rb2ScPb2.

Values from the calculation:
For the energy of formation from the pure elements, the calculation gives 265 meV per atom. For the energy above the most stable polymorph in this dataset, the calculation gives 206 meV/atom.

Cell lengths 4.573, 4.573, 16.934 Å; angles 90.00, 90.00, 90.00 degrees
Space group I4/mmm (No. 139)
Asymmetric unit:
1 Rb 0.000 0.500 0.250 x4
2 Sc 0.000 0.000 0.000 x2
3 Pb 0.000 0.000 0.415 x4



(2)
DFT (PBE) results for a relaxed structure of La8Pm2Sc.

Values from the calculation:
For the energy of formation from the pure elements, the calculation gives 101 meV per atom.

Cell lengths 5.846, 7.939, 16.894 Å; angles 90.00, 90.00, 90.00 degrees
Space group Immm (No. 71)
Asymmetric unit:
1 La 0.000 0.000 0.168 x4
2 La 0.000 0.205 0.372 x8
3 La 0.000 0.277 0.000 x4
4 Pm 0.000 0.500 0.200 x4
5 Sc 0.000 0.500 0.500 x2